Record 1
# BaTl2MoO4 GGA+U optimized geometry
# M_tot (μB per formula unit): 0.0
# Space group: Pmn2_1 (31)
# Raw total energy (eV per atom): -5.68
data_BaTl2MoO4
_cell_length_a 8.304
_cell_length_b 8.899
_cell_length_c 5.745
_cell_angle_alpha 90.00
_cell_angle_beta 90.00
_cell_angle_gamma 90.00
_space_group_name_H-M_alt 'P 1'
_space_group_IT_number 1
loop_
_space_group_symop_operation_xyz
'x,y,z'
loop_
_atom_site_label
_atom_site_fract_x
_atom_site_fract_y
_atom_site_fract_z
Ba1 0.000 0.188 0.000
Ba2 0.500 0.812 0.500
Tl1 0.195 0.465 0.507
Tl2 0.305 0.535 0.007
Tl3 0.695 0.535 0.007
Tl4 0.805 0.465 0.507
Mo1 0.000 0.882 0.455
Mo2 0.500 0.118 0.955
O1 0.000 0.068 0.578
O2 0.000 0.910 0.147
O3 0.181 0.781 0.536
O4 0.319 0.219 0.036
O5 0.500 0.090 0.647
O6 0.500 0.932 0.078
O7 0.681 0.219 0.036
O8 0.819 0.781 0.536


Record 2
# Ba2TmMo3O12 GGA+U optimized geometry
# M_tot (μB per formula unit): 1.0
# Space group: R-3m (166)
# Raw total energy (eV per atom): -7.12
data_Ba2TmMo3O12
_cell_length_a 7.548
_cell_length_b 7.548
_cell_length_c 7.548
_cell_angle_alpha 60.26
_cell_angle_beta 60.26
_cell_angle_gamma 60.26
_space_group_name_H-M_alt 'P 1'
_space_group_IT_number 1
loop_
_space_group_symop_operation_xyz
'x,y,z'
loop_
_atom_site_label
_atom_site_fract_x
_atom_site_fract_y
_atom_site_fract_z
Ba1 0.184 0.184 0.184
Ba2 0.816 0.816 0.816
Tm1 0.500 0.500 0.500
Mo1 0.000 0.500 0.500
Mo2 0.500 0.000 0.500
Mo3 0.500 0.500 0.000
O1 0.151 0.578 0.578
O2 0.197 0.197 0.556
O3 0.197 0.556 0.197
O4 0.422 0.422 0.849
O5 0.422 0.849 0.422
O6 0.444 0.803 0.803
O7 0.556 0.197 0.197
O8 0.578 0.151 0.578
O9 0.578 0.578 0.151
O10 0.803 0.444 0.803
O11 0.803 0.803 0.444
O12 0.849 0.422 0.422


Record 3
# Ba2TmMoO6 GGA+U optimized geometry
# M_tot (μB per formula unit): 1.0
# Space group: P-1 (2)
# Raw total energy (eV per atom): -7.26
data_Ba2TmMoO6
_cell_length_a 5.942
_cell_length_b 5.966
_cell_length_c 5.968
_cell_angle_alpha 91.08
_cell_angle_beta 119.33
_cell_angle_gamma 119.32
_space_group_name_H-M_alt 'P 1'
_space_group_IT_number 1
loop_
_space_group_symop_operation_xyz
'x,y,z'
loop_
_atom_site_label
_atom_site_fract_x
_atom_site_fract_y
_atom_site_fract_z
Ba1 0.000 0.250 0.250
Ba2 0.000 0.750 0.750
Tm1 0.500 0.000 0.500
Mo1 0.500 0.500 0.000
O1 0.020 0.269 0.770
O2 0.477 0.255 0.754
O3 0.500 0.259 0.240
O4 0.500 0.741 0.760
O5 0.523 0.745 0.246
O6 0.980 0.731 0.230


Record 4
# BaTmMo2O8 GGA+U optimized geometry
# M_tot (μB per formula unit): 1.0
# Space group: P-3m1 (164)
# Raw total energy (eV per atom): -7.29
data_BaTmMo2O8
_cell_length_a 5.960
_cell_length_b 5.960
_cell_length_c 7.484
_cell_angle_alpha 90.00
_cell_angle_beta 90.00
_cell_angle_gamma 120.00
_space_group_name_H-M_alt 'P 1'
_space_group_IT_number 1
loop_
_space_group_symop_operation_xyz
'x,y,z'
loop_
_atom_site_label
_atom_site_fract_x
_atom_site_fract_y
_atom_site_fract_z
Ba1 0.000 0.000 0.000
Tm1 0.000 0.000 0.500
Mo1 0.333 0.667 0.234
Mo2 0.667 0.333 0.766
O1 0.163 0.327 0.309
O2 0.163 0.837 0.309
O3 0.327 0.163 0.691
O4 0.333 0.667 0.996
O5 0.667 0.333 0.004
O6 0.673 0.837 0.309
O7 0.837 0.163 0.691
O8 0.837 0.673 0.691


Record 5
# Ba2TmMoO6 GGA+U optimized geometry
# M_tot (μB per formula unit): 0.0
# Space group: R-3m (166)
# Raw total energy (eV per atom): -7.13
data_Ba2TmMoO6
_cell_length_a 10.454
_cell_length_b 10.454
_cell_length_c 10.454
_cell_angle_alpha 33.80
_cell_angle_beta 33.80
_cell_angle_gamma 33.80
_space_group_name_H-M_alt 'P 1'
_space_group_IT_number 1
loop_
_space_group_symop_operation_xyz
'x,y,z'
loop_
_atom_site_label
_atom_site_fract_x
_atom_site_fract_y
_atom_site_fract_z
Ba1 0.135 0.135 0.135
Ba2 0.277 0.277 0.277
Ba3 0.723 0.723 0.723
Ba4 0.865 0.865 0.865
Tm1 0.408 0.408 0.408
Tm2 0.592 0.592 0.592
Mo1 0.000 0.000 0.000
Mo2 0.500 0.500 0.500
O1 0.140 0.619 0.619
O2 0.190 0.190 0.732
O3 0.190 0.732 0.190
O4 0.268 0.810 0.810
O5 0.381 0.381 0.860
O6 0.381 0.860 0.381
O7 0.619 0.140 0.619
O8 0.619 0.619 0.140
O9 0.732 0.190 0.190
O10 0.810 0.268 0.810
O11 0.810 0.810 0.268
O12 0.860 0.381 0.381


Record 6
# BaV2MoO8 GGA+U optimized geometry
# M_tot (μB per formula unit): 2.0
# Space group: P-3 (147)
# Raw total energy (eV per atom): -7.38
data_BaV2MoO8
_cell_length_a 5.675
_cell_length_b 5.675
_cell_length_c 7.301
_cell_angle_alpha 90.00
_cell_angle_beta 90.00
_cell_angle_gamma 120.00
_space_group_name_H-M_alt 'P 1'
_space_group_IT_number 1
loop_
_space_group_symop_operation_xyz
'x,y,z'
loop_
_atom_site_label
_atom_site_fract_x
_atom_site_fract_y
_atom_site_fract_z
Ba1 0.000 0.000 0.000
V1 0.333 0.667 0.745
V2 0.667 0.333 0.255
Mo1 0.000 0.000 0.500
O1 0.162 0.836 0.671
O2 0.164 0.325 0.671
O3 0.325 0.162 0.329
O4 0.333 0.667 0.975
O5 0.667 0.333 0.025
O6 0.675 0.838 0.671
O7 0.836 0.675 0.329
O8 0.838 0.164 0.329


Record 7
# Ba3V2MoO9 GGA+U optimized geometry
# M_tot (μB per formula unit): 4.0
# Space group: P-3m1 (164)
# Raw total energy (eV per atom): -7.18
data_Ba3V2MoO9
_cell_length_a 5.735
_cell_length_b 5.735
_cell_length_c 7.021
_cell_angle_alpha 90.00
_cell_angle_beta 90.00
_cell_angle_gamma 120.00
_space_group_name_H-M_alt 'P 1'
_space_group_IT_number 1
loop_
_space_group_symop_operation_xyz
'x,y,z'
loop_
_atom_site_label
_atom_site_fract_x
_atom_site_fract_y
_atom_site_fract_z
Ba1 0.000 0.000 0.000
Ba2 0.333 0.667 0.671
Ba3 0.667 0.333 0.329
V1 0.333 0.667 0.163
V2 0.667 0.333 0.837
Mo1 0.000 0.000 0.500
O1 0.000 0.500 0.000
O2 0.169 0.338 0.326
O3 0.169 0.831 0.326
O4 0.338 0.169 0.674
O5 0.500 0.000 0.000
O6 0.500 0.500 0.000
O7 0.662 0.831 0.326
O8 0.831 0.169 0.674
O9 0.831 0.662 0.674


Record 8
# BaMoW2O8 GGA+U optimized geometry
# M_tot (μB per formula unit): 2.0
# Space group: P-3 (147)
# Raw total energy (eV per atom): -7.23
data_BaMoW2O8
_cell_length_a 5.946
_cell_length_b 5.946
_cell_length_c 7.311
_cell_angle_alpha 90.00
_cell_angle_beta 90.00
_cell_angle_gamma 120.00
_space_group_name_H-M_alt 'P 1'
_space_group_IT_number 1
loop_
_space_group_symop_operation_xyz
'x,y,z'
loop_
_atom_site_label
_atom_site_fract_x
_atom_site_fract_y
_atom_site_fract_z
Ba1 0.000 0.000 0.000
Mo1 0.000 0.000 0.500
W1 0.333 0.667 0.757
W2 0.667 0.333 0.243
O1 0.161 0.324 0.682
O2 0.163 0.839 0.682
O3 0.324 0.163 0.318
O4 0.333 0.667 0.004
O5 0.667 0.333 0.996
O6 0.676 0.837 0.682
O7 0.837 0.161 0.318
O8 0.839 0.676 0.318


What did the first record say?
# BaTl2MoO4 GGA+U optimized geometry
# M_tot (μB per formula unit): 0.0
# Space group: Pmn2_1 (31)
# Raw total energy (eV per atom): -5.68
data_BaTl2MoO4
_cell_length_a 8.304
_cell_length_b 8.899
_cell_length_c 5.745
_cell_angle_alpha 90.00
_cell_angle_beta 90.00
_cell_angle_gamma 90.00
_space_group_name_H-M_alt 'P 1'
_space_group_IT_number 1
loop_
_space_group_symop_operation_xyz
'x,y,z'
loop_
_atom_site_label
_atom_site_fract_x
_atom_site_fract_y
_atom_site_fract_z
Ba1 0.000 0.188 0.000
Ba2 0.500 0.812 0.500
Tl1 0.195 0.465 0.507
Tl2 0.305 0.535 0.007
Tl3 0.695 0.535 0.007
Tl4 0.805 0.465 0.507
Mo1 0.000 0.882 0.455
Mo2 0.500 0.118 0.955
O1 0.000 0.068 0.578
O2 0.000 0.910 0.147
O3 0.181 0.781 0.536
O4 0.319 0.219 0.036
O5 0.500 0.090 0.647
O6 0.500 0.932 0.078
O7 0.681 0.219 0.036
O8 0.819 0.781 0.536